VASP calculation (GGA-PBE) on a geometry-optimized Sr6PdAu5 structure.

Structure (POSCAR):
```
Sr6PdAu5
1.0
-2.735 -4.289 1.846
1.058 -3.571 -6.730
5.496 -5.329 3.692
Sr Pd Au
6 1 5
direct
0.165 0.248 0.670 Sr
0.500 0.247 0.000 Sr
0.835 0.752 0.330 Sr
0.835 0.248 0.330 Sr
0.500 0.753 0.000 Sr
0.165 0.752 0.670 Sr
0.000 0.000 0.000 Pd
0.667 0.500 0.666 Au
0.334 0.000 0.331 Au
0.000 0.500 0.000 Au
0.666 0.000 0.669 Au
0.333 0.500 0.334 Au
```

Output
E, eV per atom: -3.35
Space-group type: Cmmm, No. 65
Energy relative to the elements, kcal/mol of atoms: -16.3
DOS(E_F), states/eV per cell: 7.14